No. 1
Density functional theory data (PBE-GGA) for crystalline LaPW at its relaxed geometry. Values from VASP.

```
&SYSTEM
  ibrav = 0, nat = 3, ntyp = 3
/
ATOMIC_SPECIES
P 30.97 P.upf
W 183.84 W.upf
La 138.91 La.upf
CELL_PARAMETERS angstrom
-3.5359 -0.8781 -2.0019
1.6613 -2.7834 2.6028
-2.3320 1.7444 3.3539
ATOMIC_POSITIONS angstrom
P -2.9694 -0.6411 1.2097
W -1.2371 -1.2761 2.7448
La -0.0002 0.0001 0.0002
```

Energy of formation from the pure elements   -0.869 eV per formula unit

No. 2
Density functional theory data (PBE-GGA) for crystalline NdSm3 at its relaxed geometry. Values from VASP.

```
&SYSTEM
  ibrav = 0, nat = 4, ntyp = 2
/
ATOMIC_SPECIES
Sm 150.36 Sm.upf
Nd 144.24 Nd.upf
CELL_PARAMETERS angstrom
-0.0880 1.2944 3.4387
-6.3270 0.6133 -0.3927
2.5491 -6.4350 0.5234
ATOMIC_POSITIONS angstrom
Sm -2.4288 -2.5301 0.8902
Nd -0.0066 0.0006 -0.0004
Sm 0.6890 -2.2033 2.8111
Sm -3.2179 0.9549 1.5223
```

Energy of formation from the pure elements   0.116 eV per formula unit

No. 3
Density functional theory data (PBE-GGA) for crystalline SrHgP2 at its relaxed geometry. Values from VASP.

```
&SYSTEM
  ibrav = 0, nat = 12, ntyp = 3
/
ATOMIC_SPECIES
P 30.97 P.upf
Sr 87.62 Sr.upf
Hg 200.59 Hg.upf
CELL_PARAMETERS angstrom
-4.6029 -2.7997 2.9514
2.8307 -2.4971 -4.3966
6.4560 -3.5506 7.4676
ATOMIC_POSITIONS angstrom
P -2.3342 -3.3636 2.5431
Sr 1.8932 -5.4228 2.7727
P 0.7549 -4.5592 -0.0644
Sr 0.0090 -1.4015 1.8086
P 7.2305 -5.8817 3.2575
Sr 1.5797 -6.4293 8.0310
Hg 3.1072 -2.7920 0.5924
P 3.1661 -6.6600 5.3887
P 3.6915 -2.9589 3.1288
Hg 5.3053 -6.7361 6.6244
Hg 2.4229 -3.5445 6.1763
P 1.6756 -2.6137 4.0068
```

Energy of formation from the pure elements   -1.661 eV per formula unit

No. 4
Density functional theory data (PBE-GGA) for crystalline TaIn2Bi at its relaxed geometry. Values from VASP.

```
&SYSTEM
  ibrav = 0, nat = 8, ntyp = 3
/
ATOMIC_SPECIES
Ta 180.95 Ta.upf
In 114.82 In.upf
Bi 208.98 Bi.upf
CELL_PARAMETERS angstrom
4.2536 0.0000 0.0000
0.0000 4.2536 0.0000
2.1268 2.1268 11.1316
ATOMIC_POSITIONS angstrom
Ta 2.1268 2.1268 0.0000
In 1.1425 3.1902 2.7829
Bi 0.0000 0.0000 0.0000
Bi 4.2536 2.1268 5.5658
Ta 2.1268 4.2536 5.5658
In 3.1112 1.0634 2.7829
In 3.1902 3.2693 8.3487
In 5.3170 5.2380 8.3487
```

Energy of formation from the pure elements   2.422 eV per formula unit

No. 5
Density functional theory data (PBE-GGA) for crystalline BaNaNd at its relaxed geometry. Values from VASP.

```
&SYSTEM
  ibrav = 0, nat = 3, ntyp = 3
/
ATOMIC_SPECIES
Nd 144.24 Nd.upf
Na 22.99 Na.upf
Ba 137.33 Ba.upf
CELL_PARAMETERS angstrom
-1.1667 -3.2051 -1.5708
2.7366 1.6450 -5.3890
3.2110 -3.2639 4.2747
ATOMIC_POSITIONS angstrom
Nd 2.6843 -2.6403 0.5571
Na -1.1527 -3.1667 -1.5520
Ba 2.0827 -2.2221 -3.2611
```

Energy of formation from the pure elements   0.839 eV per formula unit

No. 6
Density functional theory data (PBE-GGA) for crystalline Zn3SeF at its relaxed geometry. Values from VASP.

```
&SYSTEM
  ibrav = 0, nat = 10, ntyp = 3
/
ATOMIC_SPECIES
F 19.00 F.upf
Zn 65.41 Zn.upf
Se 78.96 Se.upf
CELL_PARAMETERS angstrom
-2.2094 1.7175 3.6068
3.3250 -4.9192 1.5335
5.3662 4.9944 -1.5815
ATOMIC_POSITIONS angstrom
F 1.9121 -0.7057 0.7651
Zn 3.9878 4.3879 2.0566
Zn 7.2725 0.8342 -0.1033
Zn 0.4713 1.9504 2.6113
Se 4.9579 0.2553 2.4330
Zn 2.4569 0.3702 2.5409
F -0.6643 0.2718 1.8336
Zn 2.4718 2.5285 0.8088
Zn 4.7327 1.5548 0.2367
Se 1.8752 -1.4032 4.1799
```

Electronic total energy   -26.03 eV per cell

No. 7
Density functional theory data (PBE-GGA) for crystalline Cs2TlSeI6 at its relaxed geometry. Values from VASP.

```
&SYSTEM
  ibrav = 0, nat = 10, ntyp = 4
/
ATOMIC_SPECIES
Cs 132.91 Cs.upf
I 126.90 I.upf
Tl 204.38 Tl.upf
Se 78.96 Se.upf
CELL_PARAMETERS angstrom
-1.2339 -8.3075 -2.4078
8.4580 -0.6501 -2.0915
4.8798 -6.3188 3.4490
ATOMIC_POSITIONS angstrom
Cs 3.6290 -9.5526 -0.6042
I 1.8332 -2.2731 -1.1418
Tl 0.0000 0.0000 0.0000
Se 3.6120 -4.4788 -2.2497
I 7.9106 -9.9540 -1.4133
I 5.3909 -6.6845 -3.3576
I 5.9986 -2.5932 -2.1718
I 1.2255 -6.3644 -2.3276
Cs 8.4749 -5.7238 -0.4461
I 4.1933 -5.3224 0.3630
```

Electronic total energy   -23.92 eV per cell

No. 8
Density functional theory data (PBE-GGA) for crystalline LiPmYAu at its relaxed geometry. Values from VASP.

```
&SYSTEM
  ibrav = 0, nat = 4, ntyp = 4
/
ATOMIC_SPECIES
Pm 145.00 Pm.upf
Li 6.94 Li.upf
Y 88.91 Y.upf
Au 196.97 Au.upf
CELL_PARAMETERS angstrom
5.1811 0.0000 0.0000
2.5906 4.4870 0.0000
2.5906 1.4957 4.2304
ATOMIC_POSITIONS angstrom
Pm 2.5906 1.4957 1.0576
Li 0.0000 0.0000 0.0000
Y 7.7717 4.4870 3.1728
Au 5.1811 2.9913 2.1152
```

Energy of formation from the pure elements   -1.517 eV per formula unit

No. 9
Density functional theory data (PBE-GGA) for crystalline RbTaN2 at its relaxed geometry. Values from VASP.

```
&SYSTEM
  ibrav = 0, nat = 4, ntyp = 3
/
ATOMIC_SPECIES
N 14.01 N.upf
Rb 85.47 Rb.upf
Ta 180.95 Ta.upf
CELL_PARAMETERS angstrom
1.8613 0.0000 7.3169
-0.9306 1.6119 7.3169
-0.9306 -1.6119 7.3169
ATOMIC_POSITIONS angstrom
N 0.0000 0.0000 19.3359
Rb 0.0000 0.0000 0.0000
Ta 0.0000 0.0000 10.9753
N 0.0000 0.0000 2.6147
```

Electronic total energy   -31.20 eV per cell

No. 10
Density functional theory data (PBE-GGA) for crystalline PmDy2Al2Ga2 at its relaxed geometry. Values from VASP.

```
&SYSTEM
  ibrav = 0, nat = 7, ntyp = 4
/
ATOMIC_SPECIES
Dy 162.50 Dy.upf
Al 26.98 Al.upf
Pm 145.00 Pm.upf
Ga 69.72 Ga.upf
CELL_PARAMETERS angstrom
-3.1486 1.9420 -2.3284
-2.0882 -2.2217 -3.1320
-8.6098 -3.1419 4.9191
ATOMIC_POSITIONS angstrom
Dy -7.8802 -1.4538 -2.8652
Dy -5.9664 -1.9679 2.3238
Al -9.0521 -2.6563 1.8193
Pm 0.0000 0.0000 0.0000
Al -4.7946 -0.7654 -2.3607
Ga -10.5165 -2.6247 -0.2769
Ga -3.3301 -0.7970 -0.2644
```

Energy of formation from the pure elements   -2.791 eV per formula unit

No. 11
Density functional theory data (PBE-GGA) for crystalline CaAc2HgO5 at its relaxed geometry. Values from VASP.

```
&SYSTEM
  ibrav = 0, nat = 18, ntyp = 4
/
ATOMIC_SPECIES
O 16.00 O.upf
Ca 40.08 Ca.upf
Ac 227.00 Ac.upf
Hg 200.59 Hg.upf
CELL_PARAMETERS angstrom
-2.5315 -0.1904 -2.6246
4.7115 -5.7493 -1.5871
-5.9753 -6.6203 6.2436
ATOMIC_POSITIONS angstrom
O -0.7640 -3.6254 -1.5401
Ca -2.2154 -6.8417 0.0931
Ac -3.4700 -9.5705 1.5012
O -4.9898 -7.9805 2.8517
O -0.1021 -1.1797 0.1840
O -1.2219 -10.8950 1.9690
O 0.0282 -5.8719 0.3988
Ac -3.2856 -5.9516 3.6008
Ca -4.5530 -9.0124 5.0453
Hg -6.8914 -6.8289 4.6023
O 2.3782 -4.2883 -1.9827
Hg 0.4506 -8.6622 0.1939
O -2.8594 -1.9819 0.3617
Ac 0.2336 -5.7850 -2.3456
Ac -0.7872 -3.5013 1.0133
O -1.9546 -7.7416 2.4469
O -3.3674 -5.1626 1.0824
O -1.6705 -9.1392 -0.2658
```

Electronic total energy   -115.25 eV per cell

No. 12
Density functional theory data (PBE-GGA) for crystalline DySi3IrRh at its relaxed geometry. Values from VASP.

```
&SYSTEM
  ibrav = 0, nat = 12, ntyp = 4
/
ATOMIC_SPECIES
Si 28.09 Si.upf
Dy 162.50 Dy.upf
Rh 102.91 Rh.upf
Ir 192.22 Ir.upf
CELL_PARAMETERS angstrom
5.5458 0.0000 0.0000
0.0000 6.2678 0.0000
0.0000 -3.1339 6.6941
ATOMIC_POSITIONS angstrom
Si 2.7729 4.4416 0.0000
Si 2.7729 1.8263 0.0000
Dy 4.1593 0.0000 2.5132
Si 0.0000 1.8263 0.0000
Si 1.3864 0.0000 2.9927
Si 4.1593 3.1339 3.7013
Rh 1.3864 0.0000 0.7425
Ir 1.3864 0.0000 5.2346
Si 0.0000 4.4416 0.0000
Ir 4.1593 3.1339 1.4595
Dy 1.3864 3.1339 4.1808
Rh 4.1593 3.1339 5.9515
```

Electronic total energy   -81.43 eV per cell

No. 13
Density functional theory data (PBE-GGA) for crystalline Mn2AlRu at its relaxed geometry. Values from VASP.

```
&SYSTEM
  ibrav = 0, nat = 4, ntyp = 3
/
ATOMIC_SPECIES
Mn 54.94 Mn.upf
Ru 101.07 Ru.upf
Al 26.98 Al.upf
CELL_PARAMETERS angstrom
-3.0347 2.8940 -0.2671
-1.6254 -1.9721 -3.3354
0.6221 -2.0838 3.5954
ATOMIC_POSITIONS angstrom
Mn -4.6600 0.9219 -3.6024
Ru -2.3298 0.4609 -1.8010
Al -1.6666 -1.7975 -0.7705
Mn -2.3720 0.6357 0.7630
```

Energy of formation from the pure elements   -1.074 eV per formula unit